# Rb3FeF6

Rb3FeF6 after structural relaxation (PBE+U, Alexandria).

Cell lengths 6.6585, 6.6585, 6.6585 Å; angles 120.66, 120.66, 88.87 degrees
Last column: nearest neighbours and their distance in Å.
Sites, in units of the cell vectors:
F: 0.7854 0.7854 0.0000  1 Fe 2.04
F: 0.7062 0.0000 0.7062  1 Fe 1.94
F: 0.0000 0.2938 0.2938  1 Fe 1.94
F: 0.0000 0.7062 0.7062  1 Fe 1.94
F: 0.2146 0.2146 0.0000  1 Fe 2.04
F: 0.2938 0.0000 0.2938  1 Fe 1.94
Rb: 0.5000 0.5000 0.0000  2 F 2.71
Rb: 0.2500 0.7500 0.5000  4 F 2.74
Rb: 0.7500 0.2500 0.5000  4 F 2.74
Fe: 0.0000 0.0000 0.0000  6 F 1.94-2.04

**VASP energy**: -4.636 eV per atom
**Space group**: I4/mmm